No. 1
VASP calculation (PBE-GGA) on a relaxed TmUCo3 crystal.

Cell lengths 6.138, 6.138, 6.138 Å; angles 127.04, 107.22, 95.83 degrees
Sites, in units of the cell vectors:
Tm1 0.262 0.012 0.250
Tm2 0.738 0.988 0.750
U1 0.000 0.500 0.500
U2 0.500 0.500 0.000
Co1 0.070 0.320 0.750
Co2 0.284 0.000 0.784
Co3 0.284 0.500 0.284
Co4 0.716 0.000 0.216
Co5 0.716 0.500 0.716
Co6 0.930 0.680 0.250

Calculated formation energy (meV/atom): -125
E_tot (eV/atom): -7.54
Magnetization (μB per atom): 0.000

---

No. 2
VASP calculation (PBE-GGA) on a relaxed Ba3UAl2O8 crystal.

Cell lengths 5.951, 5.951, 7.621 Å; angles 90.00, 90.00, 120.00 degrees
Sites, in units of the cell vectors:
Ba1 0.000 0.000 0.000
Ba2 0.333 0.667 0.681
Ba3 0.667 0.333 0.319
U1 0.000 0.000 0.500
Al1 0.333 0.667 0.223
Al2 0.667 0.333 0.777
O1 0.173 0.346 0.320
O2 0.173 0.827 0.320
O3 0.333 0.667 0.998
O4 0.346 0.173 0.680
O5 0.654 0.827 0.320
O6 0.667 0.333 0.002
O7 0.827 0.173 0.680
O8 0.827 0.654 0.680

Formation energy without anion corrections (kJ per mole of atoms): -281
E_tot (eV/atom): -7.50
Magnetization (μB per atom): 0.143

---

No. 3
VASP calculation (PBE-GGA) on a relaxed BaMnTc crystal.

Cell lengths 3.929, 3.929, 5.451 Å; angles 90.00, 90.00, 120.00 degrees
Sites, in units of the cell vectors:
Ba1 0.000 0.000 0.000
Mn1 0.667 0.333 0.522
Tc1 0.333 0.667 0.483

Calculated formation energy (meV/atom): 654
E_tot (eV/atom): -6.50
Magnetization (μB per atom): 0.001

---

No. 4
VASP calculation (PBE-GGA) on a relaxed NaPt2 crystal.

Cell lengths 3.657, 3.657, 4.966 Å; angles 90.00, 90.00, 90.00 degrees
Sites, in units of the cell vectors:
Na1 0.000 0.000 0.000
Pt1 0.000 0.500 0.500
Pt2 0.500 0.000 0.500

Calculated formation energy (meV/atom): 62
E_tot (eV/atom): -4.41
Magnetization (μB per atom): 0.000

---

No. 5
VASP calculation (PBE-GGA) on a relaxed KNa2Np3S6 crystal.

Cell lengths 9.284, 9.284, 8.345 Å; angles 105.48, 105.48, 25.14 degrees
Sites, in units of the cell vectors:
K1 0.000 0.000 0.000
Na1 0.331 0.331 0.664
Na2 0.669 0.669 0.336
Np1 0.000 0.000 0.500
Np2 0.332 0.332 0.171
Np3 0.668 0.668 0.829
S1 0.160 0.160 0.596
S2 0.176 0.176 0.064
S3 0.492 0.492 0.275
S4 0.508 0.508 0.725
S5 0.824 0.824 0.936
S6 0.840 0.840 0.404

Formation energy without anion corrections (kJ per mole of atoms): -132
E_tot (eV/atom): -6.98
Magnetization (μB per atom): 1.000

---

No. 6
VASP calculation (PBE-GGA) on a relaxed Fe2PAu crystal.

Cell lengths 2.780, 2.780, 6.537 Å; angles 90.00, 90.00, 90.00 degrees
Sites, in units of the cell vectors:
Fe1 0.000 0.000 0.191
Fe2 0.000 0.000 0.809
P1 0.500 0.500 0.000
Au1 0.500 0.500 0.500

Calculated formation energy (meV/atom): -55
E_tot (eV/atom): -6.46
Magnetization (μB per atom): 0.632